1.
DFT (PBE) results for a relaxed NpInAu2 crystal.

Energy of formation in eV per atom: 0.00

Structure (POSCAR):
```
NpInAu2
1.0
-3.736 -1.903 -0.531
-2.192 -1.327 3.361
-5.013 4.793 1.280
Np In Au
1 1 2
Direct
0.669 0.669 0.994 Np
0.496 0.496 0.511 In
0.089 0.089 0.733 Au
0.246 0.246 0.262 Au
```



2.
DFT (PBE) results for a relaxed NpIn2Au crystal.

Energy of formation in eV per atom: -0.01

Structure (POSCAR):
```
NpIn2Au
1.0
3.285 0.000 0.000
0.000 3.285 0.000
0.000 0.000 8.440
Np Au In
1 1 2
Direct
0.500 0.500 0.500 Np
0.500 0.500 0.000 Au
0.000 0.000 0.780 In
0.000 0.000 0.220 In
```



3.
DFT (PBE) results for a relaxed NpInAu crystal.

Energy of formation in eV per atom: -0.14

Structure (POSCAR):
```
NpInAu
1.0
3.038 0.000 0.000
0.000 5.025 0.000
0.000 -2.512 4.352
Np Au In
1 1 1
Direct
0.667 0.667 0.333 Np
0.167 0.333 0.667 Au
0.167 0.000 0.000 In
```



4.
DFT (PBE) results for a relaxed NpIn2Au crystal.

Energy of formation in eV per atom: 0.09

Structure (POSCAR):
```
NpIn2Au
1.0
4.702 0.000 0.000
2.351 4.072 0.000
2.351 1.357 5.137
Np Au In
1 1 2
Direct
0.000 0.000 0.000 Np
0.500 0.500 0.500 Au
0.773 0.773 0.680 In
0.227 0.227 0.320 In
```



5.
DFT (PBE) results for a relaxed Np2In8Au crystal.

Energy of formation in eV per atom: -0.05

Structure (POSCAR):
```
Np2In8Au
1.0
-1.222 -3.626 -2.777
0.968 -3.015 3.510
-11.550 0.877 3.938
Np In Au
2 8 1
Direct
0.000 0.000 0.312 Np
0.000 0.000 0.688 Np
0.000 0.500 0.500 In
0.500 0.000 0.500 In
0.500 0.500 0.313 In
0.500 0.500 0.687 In
0.000 0.500 0.133 In
0.500 0.000 0.133 In
0.000 0.500 0.867 In
0.500 0.000 0.867 In
0.000 0.000 0.000 Au
```



6.
DFT (PBE) results for a relaxed NpInAu2 crystal.

Energy of formation in eV per atom: -0.07

Structure (POSCAR):
```
NpInAu2
1.0
-1.919 -1.824 -2.693
-0.646 -3.804 3.036
-4.179 2.003 1.621
Np Au In
1 2 1
Direct
0.500 0.500 0.500 Np
0.000 0.000 0.500 Au
0.000 0.500 0.000 Au
0.500 0.000 0.000 In
```



7.
DFT (PBE) results for a relaxed Np2In2Au15 crystal.

Energy of formation in eV per atom: -0.06

Structure (POSCAR):
```
Np2In2Au15
1.0
-2.835 0.363 -6.821
-3.180 -6.672 -0.254
-6.907 1.978 1.756
Np In Au
2 2 15
Direct
0.354 0.354 0.354 Np
0.646 0.646 0.646 Np
0.104 0.104 0.104 In
0.896 0.896 0.896 In
0.500 0.000 0.000 Au
0.000 0.000 0.500 Au
0.000 0.500 0.000 Au
0.000 0.692 0.308 Au
0.692 0.308 0.000 Au
0.308 0.000 0.692 Au
0.308 0.692 0.000 Au
0.692 0.000 0.308 Au
0.000 0.308 0.692 Au
0.159 0.639 0.639 Au
0.639 0.639 0.159 Au
0.639 0.159 0.639 Au
0.841 0.361 0.361 Au
0.361 0.361 0.841 Au
0.361 0.841 0.361 Au
```



8.
DFT (PBE) results for a relaxed NpInAu6 crystal.

Energy of formation in eV per atom: -0.07

Structure (POSCAR):
```
NpInAu6
1.0
4.801 0.000 0.000
0.000 6.004 0.337
0.000 -2.356 5.533
Np In Au
1 1 6
Direct
0.000 0.122 0.878 Np
0.500 0.387 0.613 In
0.000 0.047 0.366 Au
0.000 0.634 0.953 Au
0.000 0.557 0.443 Au
0.500 0.448 0.126 Au
0.500 0.874 0.552 Au
0.500 0.930 0.070 Au
```



9.
DFT (PBE) results for a relaxed NpInAu crystal.

Energy of formation in eV per atom: -0.15

Structure (POSCAR):
```
NpInAu
1.0
3.406 0.000 0.000
0.000 9.128 0.000
0.000 0.000 8.379
Np In Au
4 4 4
Direct
0.250 0.408 0.506 Np
0.750 0.592 0.494 Np
0.250 0.092 0.006 Np
0.750 0.908 0.994 Np
0.250 0.599 0.150 In
0.750 0.401 0.850 In
0.250 0.901 0.650 In
0.750 0.099 0.350 In
0.250 0.647 0.823 Au
0.750 0.353 0.177 Au
0.250 0.853 0.323 Au
0.750 0.147 0.677 Au
```



10.
DFT (PBE) results for a relaxed NpInAu2 crystal.

Energy of formation in eV per atom: -0.20

Structure (POSCAR):
```
NpInAu2
1.0
-0.787 -3.221 -3.742
1.740 -4.676 0.319
-3.176 -3.813 0.610
Np Au In
1 2 1
Direct
0.000 0.000 0.000 Np
0.250 0.250 0.250 Au
0.750 0.750 0.750 Au
0.500 0.500 0.500 In
```



11.
DFT (PBE) results for a relaxed NpInAu2 crystal.

Energy of formation in eV per atom: -0.13

Structure (POSCAR):
```
NpInAu2
1.0
3.276 0.000 0.000
0.000 3.276 0.000
0.000 0.000 8.067
Np Au In
1 2 1
Direct
0.500 0.500 0.500 Np
0.000 0.000 0.761 Au
0.000 0.000 0.239 Au
0.500 0.500 0.000 In
```



12.
DFT (PBE) results for a relaxed NpInAu2 crystal.

Energy of formation in eV per atom: -0.10

Structure (POSCAR):
```
NpInAu2
1.0
-5.840 -1.365 1.921
2.344 -3.780 -2.557
3.386 -2.338 4.388
Np In Au
2 2 4
Direct
0.939 0.223 0.903 Np
0.061 0.777 0.097 Np
0.338 0.781 0.654 In
0.662 0.219 0.346 In
0.164 0.275 0.406 Au
0.836 0.725 0.594 Au
0.471 0.296 0.855 Au
0.529 0.704 0.145 Au
```



13.
DFT (PBE) results for a relaxed NpIn2AuO8 crystal.

E_form (uncorrected) in eV/atom: -1.55

Structure (POSCAR):
```
NpIn2AuO8
1.0
4.992 -0.198 -0.215
-0.180 4.977 0.217
-0.287 0.295 6.811
Np In Au O
1 2 1 8
Direct
0.000 0.000 0.000 Np
0.469 0.531 0.739 In
0.531 0.469 0.261 In
0.000 0.000 0.500 Au
0.212 0.780 0.176 O
0.695 0.701 0.000 O
0.831 0.174 0.246 O
0.788 0.220 0.824 O
0.305 0.299 0.000 O
0.169 0.826 0.754 O
0.695 0.702 0.499 O
0.305 0.298 0.501 O
```



Number 1: volume 102.3 Å³ per cell. Number 2: volume 91.1 Å³ per cell. Number 3: volume 66.4 Å³ per cell. Number 4: volume 98.3 Å³ per cell. Number 5: volume 273.4 Å³ per cell. Number 6: volume 91.0 Å³ per cell. Number 7: volume 391.7 Å³ per cell. Number 8: volume 163.3 Å³ per cell. Number 9: volume 260.5 Å³ per cell. Number 10: volume 88.4 Å³ per cell. Number 11: volume 86.6 Å³ per cell. Number 12: volume 171.7 Å³ per cell. Number 13: volume 168.4 Å³ per cell.